A plane-wave DFT calculation with PBE+U was carried out for a relaxed TlMoWO2 crystal.

## Properties
DFT total energy: -26.7 eV per cell
magnetization: 1.54 μB per formula unit

Cell: 3.9580 5.9348 3.9580 Å, 90.00 90.00 90.00°
Last column: nearest neighbours and their distance in Å.
Sites, in units of the cell vectors:
O (0.0000, 0.0000, 0.5000)  2 Mo 1.98
O (0.5000, 0.0000, 0.0000)  2 Mo 1.98
Tl (0.5000, 0.5000, 0.5000)  4 W 2.80
Mo (0.0000, 0.0000, 0.0000)  4 O 1.98
W (0.0000, 0.5000, 0.0000)  4 Tl 2.80, 2 Mo 2.97